# 1
Material: SrCa4Ga
Method: DFT, GGA-PBE
State: relaxed

energy of formation from the pure elements = -0.077 eV/atom
space group = No. 2

Unit cell a=7.1080 b=8.1505 c=9.6307 alpha=104.45 beta=111.53 gamma=90.06
Fractional positions:
Sr: 0.0667 0.2501 0.0000
Sr: 0.9333 0.7499 0.0000
Ca: 0.1042 0.1494 0.4038
Ca: 0.2998 0.6492 0.4033
Ca: 0.3314 0.5478 0.8074
Ca: 0.4760 0.0477 0.8076
Ca: 0.5240 0.9523 0.1924
Ca: 0.6686 0.4522 0.1926
Ca: 0.7002 0.3508 0.5967
Ca: 0.8958 0.8506 0.5962
Ga: 0.0000 0.5000 0.5000
Ga: 0.5000 0.0000 0.5000


# 2
Material: CaAgW2
Method: DFT, GGA-PBE
State: relaxed

energy of formation from the pure elements = 0.525 eV/atom
space group = No. 35

Unit cell a=3.3086 b=4.7314 c=9.6609 alpha=90.00 beta=90.00 gamma=90.00
Fractional positions:
Ca: 0.0000 0.0000 0.0000
Ca: 0.5000 0.5000 0.0000
Ag: 0.0000 0.5000 0.2724
Ag: 0.5000 0.0000 0.2724
W: 0.0000 0.0000 0.5184
W: 0.0000 0.5000 0.7286
W: 0.5000 0.0000 0.7286
W: 0.5000 0.5000 0.5184


# 3
Material: EuNi9Ge4
Method: DFT, GGA-PBE
State: relaxed

energy of formation from the pure elements = -0.373 eV/atom
space group = No. 140

Unit cell a=8.1675 b=8.1675 c=8.1675 alpha=121.53 beta=121.53 gamma=87.38
Fractional positions:
Eu: 0.2500 0.2500 0.0000
Eu: 0.7500 0.7500 0.0000
Ni: 0.0000 0.5000 0.5000
Ni: 0.0570 0.5570 0.2526
Ni: 0.0682 0.7964 0.8646
Ni: 0.1956 0.9430 0.5000
Ni: 0.2036 0.0682 0.2718
Ni: 0.2964 0.5682 0.8646
Ni: 0.3044 0.8044 0.7474
Ni: 0.4318 0.2964 0.7282
Ni: 0.4430 0.6956 0.5000
Ni: 0.5000 0.0000 0.5000
Ni: 0.5570 0.3044 0.5000
Ni: 0.5682 0.7036 0.2718
Ni: 0.6956 0.1956 0.2526
Ni: 0.7036 0.4318 0.1354
Ni: 0.7964 0.9318 0.7282
Ni: 0.8044 0.0570 0.5000
Ni: 0.9318 0.2036 0.1354
Ni: 0.9430 0.4430 0.7474
Ge: 0.0511 0.2036 0.5000
Ge: 0.2036 0.7036 0.1524
Ge: 0.2964 0.4489 0.5000
Ge: 0.4489 0.9489 0.1524
Ge: 0.5511 0.0511 0.8476
Ge: 0.7036 0.5511 0.5000
Ge: 0.7964 0.2964 0.8476
Ge: 0.9489 0.7964 0.5000


# 4
Material: La2CePr
Method: DFT, GGA-PBE
State: relaxed

energy of formation from the pure elements = 0.629 eV/atom
space group = No. 166

Unit cell a=4.0397 b=4.0397 c=30.4154 alpha=90.00 beta=90.00 gamma=120.00
Fractional positions:
La: 0.0000 0.0000 0.1117
La: 0.0000 0.0000 0.8883
La: 0.3333 0.6667 0.5549
La: 0.3333 0.6667 0.7784
La: 0.6667 0.3333 0.2216
La: 0.6667 0.3333 0.4451
Ce: 0.0000 0.0000 0.5000
Ce: 0.3333 0.6667 0.1667
Ce: 0.6667 0.3333 0.8333
Pr: 0.0000 0.0000 0.0000
Pr: 0.3333 0.6667 0.6667
Pr: 0.6667 0.3333 0.3333


# 5
Material: CrCdSnCl6
Method: DFT, GGA-PBE
State: relaxed

uncorrected formation energy = -976 meV/atom
space group = No. 163

Unit cell a=6.6418 b=6.6418 c=12.4066 alpha=90.00 beta=90.00 gamma=120.00
Fractional positions:
Cr: 0.3333 0.6667 0.2500
Cr: 0.6667 0.3333 0.7500
Cd: 0.3333 0.6667 0.7500
Cd: 0.6667 0.3333 0.2500
Sn: 0.0000 0.0000 0.0000
Sn: 0.0000 0.0000 0.5000
Cl: 0.0202 0.3654 0.1343
Cl: 0.0202 0.6548 0.3657
Cl: 0.3452 0.3654 0.3657
Cl: 0.3452 0.9798 0.1343
Cl: 0.3654 0.0202 0.6343
Cl: 0.3654 0.3452 0.8657
Cl: 0.6346 0.6548 0.1343
Cl: 0.6346 0.9798 0.3657
Cl: 0.6548 0.0202 0.8657
Cl: 0.6548 0.6346 0.6343
Cl: 0.9798 0.3452 0.6343
Cl: 0.9798 0.6346 0.8657


# 6
Material: CaRe2Cl
Method: DFT, GGA-PBE
State: relaxed

uncorrected formation energy = 1067 meV/atom
space group = No. 122

Unit cell a=4.7817 b=4.7817 c=16.2230 alpha=90.00 beta=90.00 gamma=90.00
Fractional positions:
Ca: 0.0000 0.0000 0.0000
Ca: 0.0000 0.5000 0.2500
Ca: 0.5000 0.0000 0.7500
Ca: 0.5000 0.5000 0.5000
Re: 0.0585 0.7500 0.6250
Re: 0.2500 0.0585 0.3750
Re: 0.2500 0.4415 0.8750
Re: 0.4415 0.7500 0.1250
Re: 0.5585 0.2500 0.1250
Re: 0.7500 0.5585 0.8750
Re: 0.7500 0.9415 0.3750
Re: 0.9415 0.2500 0.6250
Cl: 0.0000 0.0000 0.5000
Cl: 0.0000 0.5000 0.7500
Cl: 0.5000 0.0000 0.2500
Cl: 0.5000 0.5000 0.0000


# 7
Material: ZrP2H2O6
Method: DFT, GGA-PBE
State: relaxed

space group = No. 147

Unit cell a=5.5129 b=5.5129 c=6.0517 alpha=90.00 beta=90.00 gamma=120.00
Fractional positions:
Zr: 0.0000 0.0000 0.0000
P: 0.3333 0.6667 0.7279
P: 0.6667 0.3333 0.2721
H: 0.3333 0.6667 0.4958
H: 0.6667 0.3333 0.5042
O: 0.1722 0.8131 0.8008
O: 0.1869 0.3591 0.8008
O: 0.3591 0.1722 0.1992
O: 0.6409 0.8278 0.8008
O: 0.8131 0.6409 0.1992
O: 0.8278 0.1869 0.1992


# 8
Material: PaH6F12
Method: DFT, GGA-PBE
State: relaxed

space group = No. 148

Unit cell a=6.4298 b=6.4298 c=6.4298 alpha=103.34 beta=103.34 gamma=103.34
Fractional positions:
Pa: 0.0000 0.0000 0.0000
H: 0.2696 0.6576 0.5722
H: 0.3424 0.4278 0.7304
H: 0.4278 0.7304 0.3424
H: 0.5722 0.2696 0.6576
H: 0.6576 0.5722 0.2696
H: 0.7304 0.3424 0.4278
F: 0.0400 0.1037 0.3408
F: 0.1036 0.3408 0.0400
F: 0.2365 0.5841 0.6889
F: 0.3111 0.7635 0.4159
F: 0.3408 0.0400 0.1036
F: 0.4159 0.3111 0.7635
F: 0.5841 0.6889 0.2365
F: 0.6592 0.9600 0.8964
F: 0.6889 0.2365 0.5841
F: 0.7635 0.4159 0.3111
F: 0.8964 0.6592 0.9600
F: 0.9600 0.8964 0.6592


no.,final energy (eV/atom),density (g/cm3)
1,-2.196,2.1
2,-7.164,11.3
3,-6.143,8.6
4,-4.514,6.5
5,-3.823,3.5
6,-6.119,8.0
7,-7.204,2.6
8,-4.886,3.2